# 1
A relaxed structure of Te2AsW, computed with PBE.

Lattice parameters (Å, degrees): 6.6952 6.6952 11.0438 90.00 90.00 90.00
Last column: nearest neighbours and their distance in Å.
Space group I-42d (No. 122)
Asymmetric unit:
Te: 0.2161 0.2500 0.1250  2 W 2.61, 2 As 2.88
As: 0.0000 0.0000 0.5000  4 Te 2.88
W: 0.0000 0.0000 0.0000  4 Te 2.61

The value obtained for the formation energy from raw total energies is 0.843 eV per atom. The total DFT energy (no corrections) comes out at -5.129 eV per atom. The calculated density comes out at 6.9 g/cm³.


# 2
A relaxed structure of Ac7Si2Pb, computed with PBE.

Lattice parameters (Å, degrees): 5.3154 5.3154 26.3076 90.00 90.00 90.00
Last column: nearest neighbours and their distance in Å.
Space group I4/mmm (No. 139)
Asymmetric unit:
Ac: 0.0000 0.0000 0.0000  4 Pb 3.76, 8 Ac 3.85
Ac: 0.0000 0.5000 0.1061  2 Si 3.28
Ac: 0.0000 0.5000 0.2500  4 Si 3.25
Si: 0.0000 0.0000 0.1792  8 Ac 3.25-3.28
Pb: 0.0000 0.0000 0.5000  12 Ac 3.76-3.85

The value obtained for the formation energy from raw total energies is -0.228 eV per atom. The total DFT energy (no corrections) comes out at -4.559 eV per atom. The calculated density comes out at 8.3 g/cm³.


# 3
A relaxed structure of NiTeAu, computed with PBE.

Lattice parameters (Å, degrees): 3.7730 3.7730 4.8329 90.00 90.00 120.00
Last column: nearest neighbours and their distance in Å.
Space group P3m1 (No. 156)
Asymmetric unit:
Ni: 0.0000 0.0000 0.0000  3 Te 2.54, 3 Au 2.62
Te: 0.3333 0.6667 0.2684  3 Ni 2.54
Au: 0.6667 0.3333 0.6986  3 Ni 2.62

The value obtained for the formation energy from raw total energies is 0.070 eV per atom. The total DFT energy (no corrections) comes out at -3.997 eV per atom. The calculated density comes out at 10.7 g/cm³.


# 4
A relaxed structure of ZrTaAlMo, computed with PBE.

Lattice parameters (Å, degrees): 6.5966 6.5966 6.5966 90.00 90.00 90.00
Last column: nearest neighbours and their distance in Å.
Space group F-43m (No. 216)
Asymmetric unit:
Zr: 0.0000 0.0000 0.0000  4 Al 2.86, 4 Mo 2.86
Ta: 0.0000 0.0000 0.5000  4 Mo 2.86, 4 Al 2.86
Al: 0.2500 0.2500 0.7500  4 Ta 2.86, 4 Zr 2.86
Mo: 0.2500 0.2500 0.2500  4 Zr 2.86, 4 Ta 2.86

For the energy relative to the elements, the calculation gives -0.16 eV per atom. The total DFT energy (no corrections) comes out at -8.902 eV per atom. The calculated density comes out at 9.1 g/cm³.


# 5
A relaxed structure of Pa2Sn9Hg, computed with PBE.

Lattice parameters (Å, degrees): 4.5917 4.5917 14.8417 90.00 90.00 90.00
Last column: nearest neighbours and their distance in Å.
Space group P4/mmm (No. 123)
Asymmetric unit:
Pa: 0.0000 0.0000 0.1533  12 Sn 3.23-3.41
Sn: 0.0000 0.5000 0.0000  4 Pa 3.23, 8 Sn 3.25-3.33
Sn: 0.0000 0.5000 0.3231  8 Sn 3.25-3.49, 2 Pa 3.41, 2 Hg 3.49
Sn: 0.5000 0.5000 0.1624  4 Pa 3.25, 8 Sn 3.31-3.33
Sn: 0.5000 0.5000 0.5000  4 Hg 3.25, 8 Sn 3.49
Hg: 0.0000 0.0000 0.5000  12 Sn 3.25-3.49

For the energy relative to the elements, the calculation gives -0.14 eV per atom. The total DFT energy (no corrections) comes out at -4.753 eV per atom. The calculated density comes out at 9.2 g/cm³.


# 6
A relaxed structure of TbTmThSc, computed with PBE.

Lattice parameters (Å, degrees): 3.5253 3.5253 33.1462 90.00 90.00 120.00
Last column: nearest neighbours and their distance in Å.
Space group R3m (No. 160, hexagonal axes)
Asymmetric unit:
Tb: 0.0000 0.0000 0.0000  3 Th 3.49, 3 Tm 3.52, 6 Tb 3.53
Tm: 0.0000 0.0000 0.2466  3 Sc 3.36, 3 Tb 3.52, 6 Tm 3.53
Th: 0.0000 0.0000 0.4187  3 Sc 3.36, 3 Tb 3.49, 6 Th 3.53
Sc: 0.0000 0.0000 0.8326  3 Th 3.36, 3 Tm 3.36, 6 Sc 3.53

For the energy relative to the elements, the calculation gives 0.02 eV per atom. The total DFT energy (no corrections) comes out at -5.692 eV per atom. The calculated density comes out at 8.4 g/cm³.


# 7
A relaxed structure of TiAlPCl2, computed with PBE.

Lattice parameters (Å, degrees): 4.5404 4.5404 5.0619 90.00 90.00 90.00
Last column: nearest neighbours and their distance in Å.
Space group P4/mmm (No. 123)
Asymmetric unit:
Ti: 0.0000 0.0000 0.0000  4 P 3.21, 8 Cl 3.40
Al: 0.5000 0.5000 0.5000  4 Cl 2.27, 2 P 2.53
P: 0.5000 0.5000 0.0000  2 Al 2.53
Cl: 0.0000 0.5000 0.5000  2 Al 2.27

The value obtained for the formation energy from raw total energies is -0.118 eV per atom. The total DFT energy (no corrections) comes out at -4.266 eV per atom. The calculated density comes out at 2.8 g/cm³.


# 8
A relaxed structure of Ti3S2N, computed with PBE.

Lattice parameters (Å, degrees): 4.5887 11.7892 3.2173 90.00 90.00 90.00
Last column: nearest neighbours and their distance in Å.
Space group Cmmm (No. 65)
Asymmetric unit:
Ti: 0.0000 0.0000 0.0000  2 N 2.29, 4 S 2.51
Ti: 0.0000 0.3894 0.5000  2 N 2.07
S: 0.0000 0.1634 0.5000  4 Ti 2.38-2.51
N: 0.0000 0.5000 0.0000  6 Ti 2.07-2.29

The value obtained for the formation energy from raw total energies is -1.343 eV per atom. The total DFT energy (no corrections) comes out at -8.054 eV per atom. The calculated density comes out at 4.2 g/cm³.


> calculated density of number 4 (ZrTaAlMo)?

9.1 g/cm³